10
Lattice="5.321 -3.061 0.000 5.321 3.061 0.000 -2.247 0.000 7.810" Properties=species:S:1:pos:R:3 comment="Th2Ag2Hg, relaxed, DFT PBE-GGA" ef_ev_per_atom=-0.083 spacegroup="C2/c (15)" pbc="T T T"
Th 1.257 0.760 1.093
Th 0.134 -0.760 4.998
Th 8.262 0.760 2.813
Th 7.139 -0.760 6.718
Ag 2.747 0.786 3.983
Ag 3.870 -0.786 0.078
Ag 4.525 0.786 7.732
Ag 5.649 -0.786 3.827
Hg 4.760 1.226 1.953
Hg 3.636 -1.226 5.858

11
Lattice="-2.131 2.131 16.072 2.131 -2.131 16.072 2.131 2.131 -16.072" Properties=species:S:1:pos:R:3 comment="Th3Ag2Hg6, relaxed, DFT PBE-GGA" ef_ev_per_atom=-0.003 spacegroup="I4/mmm (139)" pbc="T T T"
Th 0.000 0.000 0.000
Th 0.000 0.000 5.522
Th 0.000 0.000 26.622
Ag 0.000 0.000 11.543
Ag 0.000 0.000 20.602
Hg 2.131 0.000 2.462
Hg 0.000 0.000 8.709
Hg 2.131 0.000 13.610
Hg 0.000 2.131 2.462
Hg 0.000 0.000 23.436
Hg 0.000 2.131 13.610

16
Lattice="2.436 -5.508 0.000 2.436 5.508 0.000 0.000 0.000 15.372" Properties=species:S:1:pos:R:3 comment="Th3Ag2Hg3, relaxed, DFT PBE-GGA" ef_ev_per_atom=-0.160 spacegroup="Cmcm (63)" pbc="T T T"
Th 2.436 4.632 9.248
Th 2.436 4.632 13.809
Th 2.436 2.058 11.529
Th 2.436 -2.058 3.843
Th 2.436 -4.632 1.562
Th 2.436 -4.632 6.124
Ag 2.436 3.132 1.657
Ag 2.436 3.132 6.029
Ag 2.436 -3.132 9.343
Ag 2.436 -3.132 13.715
Hg 2.436 1.290 8.386
Hg 2.436 1.290 14.671
Hg 2.436 1.151 3.843
Hg 2.436 -1.151 11.529
Hg 2.436 -1.290 0.701
Hg 2.436 -1.290 6.985

4
Lattice="4.535 0.000 0.000 0.000 4.535 0.000 0.000 0.000 4.886" Properties=species:S:1:pos:R:3 comment="ThAgHg2, relaxed, DFT PBE-GGA" ef_ev_per_atom=-0.051 spacegroup="P4/mmm (123)" pbc="T T T"
Th 0.000 0.000 0.000
Ag 2.267 2.267 0.000
Hg 0.000 2.267 2.443
Hg 2.267 0.000 2.443

12
Lattice="0.000 4.962 8.581 3.342 0.000 8.581 3.342 4.962 0.000" Properties=species:S:1:pos:R:3 comment="Th2Ag3Hg, relaxed, DFT PBE-GGA" ef_ev_per_atom=-0.200 spacegroup="Fmmm (69)" pbc="T T T"
Th 5.028 4.962 8.581
Th 1.671 2.481 4.290
Th 5.014 7.443 12.871
Th 1.657 4.962 8.581
Ag 3.342 4.962 2.836
Ag 3.342 2.460 7.162
Ag 3.342 2.460 9.999
Ag 3.342 7.464 7.162
Ag 3.342 7.464 9.999
Ag 3.342 4.962 14.325
Hg 3.342 4.962 5.717
Hg 3.342 4.962 11.444

18
Lattice="3.088 -8.218 0.000 3.088 8.218 0.000 0.000 0.000 8.292" Properties=species:S:1:pos:R:3 comment="Th2Ag4Hg3, relaxed, DFT PBE-GGA" ef_ev_per_atom=-0.026 spacegroup="Cmce (64)" pbc="T T T"
Th 3.088 6.426 7.548
Th 3.088 1.793 3.402
Th 3.088 -1.793 4.890
Th 3.088 -6.426 0.744
Ag 3.088 5.377 4.312
Ag 1.544 0.969 6.219
Ag 1.544 -0.969 2.073
Ag 3.088 2.841 0.166
Ag 3.088 -2.841 8.127
Ag 4.632 0.969 6.219
Ag 4.632 -0.969 2.073
Ag 3.088 -5.377 3.980
Hg 0.000 0.000 4.146
Hg 1.544 3.826 6.219
Hg 1.544 -3.826 2.073
Hg 3.088 0.000 0.000
Hg 4.632 3.826 6.219
Hg 4.632 -3.826 2.073

16
Lattice="3.349 0.000 0.000 0.000 6.248 0.000 0.000 0.000 20.564" Properties=species:S:1:pos:R:3 comment="Th3AgHg4, relaxed, DFT PBE-GGA" ef_ev_per_atom=-0.081 spacegroup="Immm (71)" pbc="T T T"
Th 0.000 0.000 0.000
Th 0.000 3.124 5.007
Th 0.000 3.124 15.557
Th 1.675 0.000 5.275
Th 1.675 0.000 15.289
Th 1.675 3.124 10.282
Ag 0.000 0.000 10.282
Ag 1.675 3.124 0.000
Hg 0.000 1.535 7.837
Hg 0.000 1.535 12.727
Hg 0.000 4.713 7.837
Hg 0.000 4.713 12.727
Hg 1.675 1.589 2.445
Hg 1.675 1.589 18.119
Hg 1.675 4.659 2.445
Hg 1.675 4.659 18.119

5
Lattice="0.000 4.526 4.670 2.937 0.000 4.670 2.937 4.526 0.000" Properties=species:S:1:pos:R:3 comment="ThAg2Hg2, relaxed, DFT PBE-GGA" ef_ev_per_atom=0.038 spacegroup="Fmmm (69)" pbc="T T T"
Th 0.000 0.000 0.000
Ag 1.468 2.263 2.335
Ag 4.405 6.789 7.004
Hg 2.937 4.526 3.257
Hg 2.937 4.526 6.082

The magnetic moment results, record by record, are as follows: 0.000; 0.000; 0.000; 0.000; 0.000; 0.003; 0.000; 0.000 Bohr magnetons per cell.
The E_tot results, record by record, are as follows: -4.252; -2.710; -3.768; -2.769; -4.149; -3.043; -3.370; -2.707 eV per atom.